# 1
This record from the Alexandria database describes a relaxed structure of As2RhBr. The functional is PBE.

a = 4.9189 Å, b = 4.9189 Å, c = 3.0183 Å
α = 90.00°, β = 90.00°, γ = 90.00°
Last column: nearest neighbours and their distance in Å.
Fractional positions:
As1 0.0000 0.5000 0.0000  4 Br 2.89, 4 Rh 2.89, 2 As 3.02
As2 0.5000 0.0000 0.0000  4 Br 2.89, 4 Rh 2.89, 2 As 3.02
Rh1 0.0000 0.0000 0.5000  8 As 2.89, 2 Rh 3.02
Br1 0.5000 0.5000 0.5000  8 As 2.89, 2 Br 3.02

SG: P4/mmm
excess energy over the best structure of this formula in the dataset: 15.55 kcal/mol of atoms
ρ: 7564 kg/m3
N(E_F): 0.950 states/eV/atom
ΔE_f (raw): 0.53 eV/atom

***

# 2
This record from the Alexandria database describes a relaxed structure of As2RhBr. The functional is PBE.

a = 3.3710 Å, b = 3.3710 Å, c = 7.3441 Å
α = 90.00°, β = 90.00°, γ = 90.00°
Last column: nearest neighbours and their distance in Å.
Fractional positions:
As1 0.0000 0.0000 0.0000  4 Rh 2.61, 4 As 2.80
As2 0.5000 0.5000 0.2005  1 Rh 2.54, 4 As 2.80
Rh1 0.5000 0.5000 0.8550  5 As 2.54-2.61
Br1 0.0000 0.0000 0.5940  1 As 2.98, 4 Rh 3.06

SG: P4mm
excess energy over the best structure of this formula in the dataset: 5.85 kcal/mol of atoms
ρ: 6619 kg/m3
N(E_F): 0.947 states/eV/atom
ΔE_f (raw): 0.11 eV/atom

***

# 3
This record from the Alexandria database describes a relaxed structure of As2RhBr. The functional is PBE.

a = 7.0814 Å, b = 7.0814 Å, c = 7.0814 Å
α = 127.31°, β = 127.31°, γ = 77.75°
Last column: nearest neighbours and their distance in Å.
Fractional positions:
As1 0.0389 0.6250 0.9139  2 Rh 2.33
As2 0.3750 0.2889 0.4139  2 Rh 2.33
As3 0.7111 0.1250 0.0861  2 Rh 2.33
As4 0.8750 0.9611 0.5861  2 Rh 2.33
Rh1 0.0000 0.0000 0.0000  4 As 2.33
Rh2 0.7500 0.2500 0.5000  4 As 2.33
Br1 0.2500 0.7500 0.5000  4 As 2.97
Br2 0.5000 0.5000 0.0000  4 As 2.97

SG: I-42d
excess energy over the best structure of this formula in the dataset: 4.40 kcal/mol of atoms
ρ: 5073 kg/m3
N(E_F): 0.274 states/eV/atom
ΔE_f (raw): 0.04 eV/atom

***

# 4
This record from the Alexandria database describes a relaxed structure of AsRh2Br. The functional is PBE.

a = 5.5039 Å, b = 5.5039 Å, c = 5.5039 Å
α = 140.57°, β = 140.57°, γ = 56.98°
Last column: nearest neighbours and their distance in Å.
Fractional positions:
As1 0.0000 0.0000 0.0000  4 Rh 2.63
Rh1 0.5000 0.5000 0.0000  4 As 2.63
Rh2 0.7500 0.2500 0.5000  4 Br 2.63
Br1 0.2500 0.7500 0.5000  4 Rh 2.63

SG: I-4m2
excess energy over the best structure of this formula in the dataset: 13.62 kcal/mol of atoms
ρ: 8980 kg/m3
N(E_F): 0.706 states/eV/atom
ΔE_f (raw): 0.40 eV/atom

***

# 5
This record from the Alexandria database describes a relaxed structure of As2RhBr4. The functional is PBE.

a = 8.0634 Å, b = 8.0634 Å, c = 8.0634 Å
α = 139.77°, β = 139.77°, γ = 58.21°
Last column: nearest neighbours and their distance in Å.
Fractional positions:
As1 0.0802 0.0802 0.0000  1 As 2.26
As2 0.9198 0.9198 0.0000  1 As 2.26
Rh1 0.5000 0.5000 0.0000  2 Br 2.45
Br1 0.0000 0.5000 0.5000  2 Rh 2.77, 4 As 2.99
Br2 0.3263 0.3263 0.0000  1 Rh 2.45
Br3 0.5000 0.0000 0.5000  2 Rh 2.77, 4 As 2.99
Br4 0.6737 0.6737 0.0000  1 Rh 2.45

SG: I4/mmm
ρ: 4385 kg/m3
N(E_F): 1.198 states/eV/atom
ΔE_f (raw): 0.22 eV/atom

***

# 6
This record from the Alexandria database describes a relaxed structure of As2RhBr. The functional is PBE.

a = 6.1372 Å, b = 6.1372 Å, c = 6.1372 Å
α = 151.13°, β = 135.64°, γ = 53.80°
Last column: nearest neighbours and their distance in Å.
Fractional positions:
As1 0.1940 0.1940 0.0000  2 Rh 2.62
As2 0.8060 0.8060 0.0000  2 Rh 2.62
Rh1 0.0000 0.5000 0.5000  4 As 2.62, 4 Br 2.78
Br1 0.5000 0.0000 0.5000  4 Rh 2.78, 2 Br 3.06

SG: Immm
excess energy over the best structure of this formula in the dataset: 7.90 kcal/mol of atoms
ρ: 7117 kg/m3
N(E_F): 0.510 states/eV/atom
ΔE_f (raw): 0.20 eV/atom

***

# 7
This record from the Alexandria database describes a relaxed structure of AsRh2Br. The functional is PBE.

a = 6.8566 Å, b = 6.8566 Å, c = 6.8566 Å
α = 152.35°, β = 150.42°, γ = 40.93°
Last column: nearest neighbours and their distance in Å.
Fractional positions:
As1 0.0000 0.0000 0.0000  6 Rh 2.36-2.53
Rh1 0.4382 0.4382 0.0000  4 As 2.53
Rh2 0.6237 0.1237 0.5000  2 As 2.36
Br1 0.2558 0.7558 0.5000  6 Rh 2.86-2.94

SG: Imm2
excess energy over the best structure of this formula in the dataset: 3.42 kcal/mol of atoms
ρ: 8128 kg/m3
N(E_F): 0.745 states/eV/atom
ΔE_f (raw): -0.04 eV/atom

***

# 8
This record from the Alexandria database describes a relaxed structure of AsRhBr2. The functional is PBE.

a = 6.9962 Å, b = 6.9962 Å, c = 6.9962 Å
α = 149.70°, β = 140.54°, γ = 50.54°
Last column: nearest neighbours and their distance in Å.
Fractional positions:
As1 0.0000 0.0000 0.0000  2 Rh 2.37
Rh1 0.8813 0.3813 0.5000  2 As 2.37, 2 Br 2.47
Br1 0.3249 0.3249 0.0000  2 Rh 2.47
Br2 0.6022 0.1022 0.5000  2 As 2.69

SG: Imm2
excess energy over the best structure of this formula in the dataset: 5.19 kcal/mol of atoms
ρ: 5131 kg/m3
N(E_F): 0.005 states/eV/atom
ΔE_f (raw): -0.21 eV/atom

***

# 9
This record from the Alexandria database describes a relaxed structure of AsRhBr2. The functional is PBE.

a = 8.6709 Å, b = 8.6709 Å, c = 8.6709 Å
α = 24.48°, β = 24.48°, γ = 24.48°
Last column: nearest neighbours and their distance in Å.
Fractional positions:
As1 0.0000 0.0000 0.0000  2 Br 2.67
Rh1 0.5000 0.5000 0.5000  6 Br 2.62
Br1 0.1059 0.1059 0.1059  3 Rh 2.62, 1 As 2.67
Br2 0.8941 0.8941 0.8941  3 Rh 2.62, 1 As 2.67

SG: R-3m
excess energy over the best structure of this formula in the dataset: 18.21 kcal/mol of atoms
ρ: 5696 kg/m3
N(E_F): 0.772 states/eV/atom
ΔE_f (raw): 0.36 eV/atom

***

# 10
This record from the Alexandria database describes a relaxed structure of AsRhBr2. The functional is PBE.

a = 3.2621 Å, b = 4.3775 Å, c = 5.8506 Å
α = 90.00°, β = 90.00°, γ = 90.00°
Last column: nearest neighbours and their distance in Å.
Fractional positions:
As1 0.0000 0.0000 0.0000  4 Br 2.73
Rh1 0.5000 0.0000 0.5000  4 Br 2.73
Br1 0.0000 0.5000 0.5000  4 Rh 2.73
Br2 0.5000 0.5000 0.0000  4 As 2.73

SG: Pmmm
excess energy over the best structure of this formula in the dataset: 22.49 kcal/mol of atoms
ρ: 6711 kg/m3
N(E_F): 0.822 states/eV/atom
ΔE_f (raw): 0.55 eV/atom

***

# 11
This record from the Alexandria database describes a relaxed structure of AsRhBr2. The functional is PBE.

a = 3.5789 Å, b = 3.5789 Å, c = 7.5283 Å
α = 90.00°, β = 90.00°, γ = 90.00°
Last column: nearest neighbours and their distance in Å.
Fractional positions:
As1 0.0000 0.0000 0.0000  1 Br 2.55, 4 Rh 2.64
Rh1 0.5000 0.5000 0.9023  1 Br 2.56, 4 As 2.64
Br1 0.0000 0.0000 0.6614  1 As 2.55
Br2 0.5000 0.5000 0.2422  1 Rh 2.56

SG: P4mm
excess energy over the best structure of this formula in the dataset: 9.46 kcal/mol of atoms
ρ: 5814 kg/m3
ΔE_f (raw): -0.02 eV/atom

***

# 12
This record from the Alexandria database describes a relaxed structure of AsRuRh2Br. The functional is PBE.

a = 4.8391 Å, b = 4.8391 Å, c = 4.6236 Å
α = 90.00°, β = 90.00°, γ = 90.00°
Last column: nearest neighbours and their distance in Å.
Fractional positions:
As1 0.0000 0.0000 0.0000  2 Ru 2.31
Ru1 0.0000 0.0000 0.5000  2 As 2.31, 4 Rh 2.42
Rh1 0.0000 0.5000 0.5000  2 Ru 2.42
Rh2 0.5000 0.0000 0.5000  2 Ru 2.42
Br1 0.5000 0.5000 0.0000  8 Rh 3.35, 4 As 3.42

SG: P4/mmm
ρ: 7081 kg/m3
N(E_F): 1.604 states/eV/atom
ΔE_f (raw): 1.04 eV/atom